4
Lattice="1.4759 0.8521 9.0543 -1.4759 0.8521 9.0543 0.0000 -1.7042 9.0543" Properties=species:S:1:pos:R:3 comment="Mn2RePb (PBE, relaxed)" dft_energy_ry_per_atom=-0.58244 spacegroup="No. 160" pbc="T T T"
Mn 0.0000 0.0000 0.0000
Mn 0.0000 0.0000 7.0780
Re 0.0000 0.0000 14.3152
Pb 0.0000 0.0000 20.7370